PBE-GGA Pu2IrOs3, optimized geometry; ΔE_f = -0.213 eV per atom; total magnetic moment = 8.86 μB/cell; total DFT energy (no corrections) = -12.08 eV/atom; SG = No. 166
1.0
4.677 -0.136 -2.449
-2.975 4.357 -0.232
-0.138 0.191 5.417
Pu Ir Os
2 1 3
Cartesian
2.378 1.558 -1.240 Pu
-0.814 2.854 3.977 Pu
0.000 0.000 0.000 Ir
0.782 2.206 1.368 Os
-0.069 0.095 2.709 Os
2.269 0.027 1.484 Os

---

PBE-GGA Pu2IrOs, optimized geometry; ΔE_f = -0.185 eV per atom; total magnetic moment = 9.04 μB/cell; total DFT energy (no corrections) = -12.37 eV/atom; SG = No. 123
1.0
-2.041 -0.952 2.466
1.379 -3.042 -0.033
4.775 2.112 4.768
Ir Os Pu
1 1 2
Cartesian
-0.331 -1.997 1.216 Ir
2.056 -0.941 3.600 Os
3.583 1.585 3.578 Pu
1.192 0.527 1.190 Pu